[1]
LiCrBr3 | PBE | relaxed

a = 5.210 Å, b = 5.210 Å, c = 5.210 Å
α = 90.00°, β = 90.00°, γ = 90.00°
Last column: magnetic moment on the atom in μB.
Fractional coordinates of all 5 atoms:
Cr: 0.000 0.000 0.000  3.66
Br: 0.000 0.500 0.000  -0.02
Br: 0.000 0.000 0.500  0.01
Br: 0.500 0.000 0.000  -0.01
Li: 0.500 0.500 0.500  0.00

Computed properties:
Fermi-level density of states in states/eV/f.u.: 0.8
DFT total energy in eV per atom: -4.0634
SG: Pm-3m, No. 221
Total magnetization in μB per atom: 0.800
Volume in Å³/cell: 141.4


[2]
Na2LiCrBr6 | PBE | relaxed

a = 6.913 Å, b = 6.914 Å, c = 8.137 Å
α = 64.86°, β = 64.86°, γ = 60.00°
Last column: magnetic moment on the atom in μB.
Fractional coordinates of all 10 atoms:
Na: 0.521 0.521 0.438  0.00
Na: 0.015 0.015 0.954  0.00
Li: 0.689 0.689 0.934  0.00
Cr: 0.347 0.347 0.960  2.95
Br: 0.572 0.296 0.164  -0.03
Br: 0.296 0.968 0.164  -0.03
Br: 0.968 0.572 0.164  -0.03
Br: 0.434 0.707 0.745  -0.03
Br: 0.707 0.114 0.745  -0.03
Br: 0.114 0.434 0.745  -0.03

Computed properties:
Fermi-level density of states in states/eV/f.u.: 0.0
DFT total energy in eV per atom: -3.6428
SG: R3, No. 146
Total magnetization in μB per atom: 0.300
Volume in Å³/cell: 293.5


[3]
LiCr2NiBr | PBE | relaxed

a = 4.818 Å, b = 3.980 Å, c = 4.818 Å
α = 90.00°, β = 90.00°, γ = 90.00°
Last column: magnetic moment on the atom in μB.
Fractional coordinates of all 5 atoms:
Ni: 0.000 0.500 0.000  0.30
Li: 0.000 0.000 0.000  0.06
Br: 0.500 0.500 0.500  0.00
Cr: 0.000 0.000 0.500  3.99
Cr: 0.500 0.000 0.000  3.90

Computed properties:
Fermi-level density of states in states/eV/f.u.: 5.4
DFT total energy in eV per atom: -4.6134
SG: P4/mmm, No. 123
Total magnetization in μB per atom: 1.875
Volume in Å³/cell: 92.4


> volume of number 1 (LiCrBr3)?

141.4 Å³/cell


> Which of these has the lowest volume?

LiCr2NiBr


> Among the records above, which one has the lowest volume?

LiCr2NiBr


> Which value of Fermi-level density of states does entry 2 give?

0.0 states/eV/f.u.